{"formula": "GaAsRu", "functional": "GGA-PBE", "state": "optimized geometry", "e_tot_ev_per_atom": -5.910, "formation_enthalpy_0k_mev_per_atom": -259.3, "spacegroup": "I4/mmm (139)", "lattice_angstrom": [[-2.1202, 2.1202, 5.5632], [2.1202, -2.1202, 5.5632], [2.1202, 2.1202, -5.5632]], "species": ["Ga", "Ga", "As", "As", "Ru", "Ru"], "fractional_positions": [[0.1386, 0.1386, 0.0000], [0.8614, 0.8614, 0.0000], [0.3639, 0.3639, 0.0000], [0.6361, 0.6361, 0.0000], [0.0000, 0.5000, 0.5000], [0.5000, 0.0000, 0.5000]]}



{"formula": "AcNpTeO6", "functional": "GGA-PBE", "state": "optimized geometry", "raw_formation_energy_ev_per_fu": -20.0, "e_tot_ev_per_atom": -7.767, "spacegroup": "P-31c (163)", "lattice_angstrom": [[6.2324, 0.0000, 0.0000], [-3.1162, 5.3974, 0.0000], [0.0000, 0.0000, 8.0686]], "species": ["Ac", "Ac", "Np", "Np", "Te", "Te", "O", "O", "O", "O", "O", "O", "O", "O", "O", "O", "O", "O"], "fractional_positions": [[0.3333, 0.6667, 0.2500], [0.6667, 0.3333, 0.7500], [0.3333, 0.6667, 0.7500], [0.6667, 0.3333, 0.2500], [0.0000, 0.0000, 0.0000], [0.0000, 0.0000, 0.5000], [0.0582, 0.3708, 0.6150], [0.0582, 0.6874, 0.8850], [0.3126, 0.3708, 0.8850], [0.3126, 0.9418, 0.6150], [0.3708, 0.0582, 0.1150], [0.3708, 0.3126, 0.3850], [0.6292, 0.6874, 0.6150], [0.6292, 0.9418, 0.8850], [0.6874, 0.0582, 0.3850], [0.6874, 0.6292, 0.1150], [0.9418, 0.3126, 0.1150], [0.9418, 0.6292, 0.3850]]}